# 1
# PBE+U Na2SbMo2O6, relaxed
data_Na2SbMo2O6
_space_group_name_H-M_alt 'C 1 2/m 1'
_space_group_IT_number 12
_cell_length_a 5.693
_cell_length_b 9.905
_cell_length_c 5.852
_cell_angle_alpha 90.00
_cell_angle_beta 109.12
_cell_angle_gamma 90.00
loop_
_space_group_symop_operation_xyz
'x,y,z'
'-x,-y,-z'
'-x,y,-z'
'x,-y,z'
'x+1/2,y+1/2,z'
'-x+1/2,-y+1/2,-z'
'-x+1/2,y+1/2,-z'
'x+1/2,-y+1/2,z'
loop_
_atom_site_label
_atom_site_type_symbol
_atom_site_fract_x
_atom_site_fract_y
_atom_site_fract_z
Na1 Na 0.000 0.170 0.000
Sb1 Sb 0.000 0.000 0.500
Mo1 Mo 0.000 0.335 0.500
O1 O 0.231 0.173 0.695
O2 O 0.235 0.500 0.696
# * raw total energy: -6.182 eV per atom



# 2
# PBE+U NaSbMoO6, relaxed
data_NaSbMoO6
_space_group_name_H-M_alt 'P -3 1 c'
_space_group_IT_number 163
_space_group_name_Hall '-P 3 2c'
_cell_length_a 5.3254
_cell_length_b 5.3254
_cell_length_c 10.4371
_cell_angle_alpha 90.00
_cell_angle_beta 90.00
_cell_angle_gamma 120.00
loop_
_atom_site_label
_atom_site_type_symbol
_atom_site_fract_x
_atom_site_fract_y
_atom_site_fract_z
Na1 Na 0.0000 0.0000 0.0000
Sb1 Sb 0.3333 0.6667 0.2500
Mo1 Mo 0.3333 0.6667 0.7500
O1 O 0.0082 0.3876 0.6451
# * raw total energy: -6.226 eV per atom



# 3
# PBE+U Na9ScMo6O24, relaxed
data_Na9ScMo6O24
_space_group_name_H-M_alt 'R -3'
_space_group_IT_number 148
_space_group_name_Hall '-R 3'
_cell_length_a 15.2989
_cell_length_b 15.2989
_cell_length_c 19.5234
_cell_angle_alpha 90.00
_cell_angle_beta 90.00
_cell_angle_gamma 120.00
loop_
_atom_site_label
_atom_site_type_symbol
_atom_site_fract_x
_atom_site_fract_y
_atom_site_fract_z
Na1 Na 0.0013 0.7736 0.0491
Na2 Na 0.0078 0.7740 0.4490
Na3 Na 0.0138 0.7829 0.2434
Sc1 Sc 0.0000 0.0000 0.2532
Mo1 Mo 0.0066 0.1960 0.3626
Mo2 Mo 0.0107 0.8161 0.8601
O1 O 0.0180 0.3848 0.9935
O2 O 0.0178 0.6289 0.4938
O3 O 0.0614 0.1358 0.3095
O4 O 0.0637 0.9284 0.8046
O5 O 0.0648 0.2211 0.4454
O6 O 0.0648 0.8536 0.9434
O7 O 0.0917 0.5413 0.2964
O8 O 0.0961 0.5517 0.8024
# * raw total energy: -6.410 eV per atom



# 4
# PBE+U NaScMoO5, relaxed
data_NaScMoO5
_space_group_name_H-M_alt 'C 1 2/c 1'
_space_group_IT_number 15
_cell_length_a 7.848
_cell_length_b 9.242
_cell_length_c 7.663
_cell_angle_alpha 90.00
_cell_angle_beta 114.76
_cell_angle_gamma 90.00
loop_
_space_group_symop_operation_xyz
'x,y,z'
'-x,-y,-z'
'-x,y,-z+1/2'
'x,-y,z+1/2'
'x+1/2,y+1/2,z'
'-x+1/2,-y+1/2,-z'
'-x+1/2,y+1/2,-z+1/2'
'x+1/2,-y+1/2,z+1/2'
loop_
_atom_site_label
_atom_site_type_symbol
_atom_site_fract_x
_atom_site_fract_y
_atom_site_fract_z
Na1 Na 0.000 0.202 0.250
Sc1 Sc 0.000 0.500 0.000
Mo1 Mo 0.000 0.153 0.750
O1 O 0.000 0.445 0.250
O2 O 0.045 0.265 0.581
O3 O 0.192 0.034 0.877
# * raw total energy: -7.180 eV per atom



# 5
# PBE+U Na2ScMoO, relaxed
data_Na2ScMoO
_space_group_name_H-M_alt 'P 4/m m m'
_space_group_IT_number 123
_space_group_name_Hall '-P 4 2'
_cell_length_a 6.437
_cell_length_b 6.437
_cell_length_c 3.806
_cell_angle_alpha 90.00
_cell_angle_beta 90.00
_cell_angle_gamma 90.00
loop_
_atom_site_label
_atom_site_type_symbol
_atom_site_fract_x
_atom_site_fract_y
_atom_site_fract_z
Na1 Na 0.000 0.500 0.000
Sc1 Sc 0.000 0.000 0.000
Mo1 Mo 0.500 0.500 0.500
O1 O 0.000 0.000 0.500
# * raw total energy: -4.262 eV per atom



# 6
# PBE+U NaScMoO4, relaxed
data_NaScMoO4
_space_group_name_H-M_alt 'I m m a'
_space_group_IT_number 74
_space_group_name_Hall '-I 2b 2'
_cell_length_a 6.475
_cell_length_b 6.520
_cell_length_c 8.928
_cell_angle_alpha 90.00
_cell_angle_beta 90.00
_cell_angle_gamma 90.00
loop_
_atom_site_label
_atom_site_type_symbol
_atom_site_fract_x
_atom_site_fract_y
_atom_site_fract_z
Na1 Na 0.000 0.250 0.130
Sc1 Sc 0.250 0.250 0.750
Mo1 Mo 0.000 0.000 0.500
O1 O 0.000 0.038 0.729
O2 O 0.208 0.250 0.511
# * raw total energy: -7.313 eV per atom



For each record above, in turn, the calculated spin magnetization values are 10.0, 0.0, 0.0, 0.0, 4.9, 8.0 Bohr magnetons per cell.